Record 1
VASP calculation (PBE) on CSeSCl2 after structural relaxation.

a b c (Å): 4.867 4.867 5.060
angles (deg): 90.00 90.00 90.00
Space group P4/mmm (No. 123)
Unique sites:
C: 0.000 0.000 0.000 (multiplicity 1)
Se: 0.500 0.500 0.500 (multiplicity 1)
S: 0.500 0.500 0.000 (multiplicity 1)
Cl: 0.000 0.500 0.500 (multiplicity 2)

Values from the calculation:
Distance to the lowest polymorph of the same formula (meV/atom): 350
ρ (Mg/m³): 2.69
Energy relative to the elements, uncorrected (meV per atom): 1643
Spin magnetization (μB/cell): 1.05
Uncorrected energy (eV/atom): -2.46

Record 2
VASP calculation (PBE) on MnCoP2 after structural relaxation.

a b c (Å): 7.147 2.738 4.682
angles (deg): 90.00 103.19 90.00
Space group C2/m (No. 12)
Unique sites:
Mn: 0.000 0.000 0.000 (multiplicity 2)
Co: 0.000 0.500 0.500 (multiplicity 2)
P: 0.248 0.500 0.237 (multiplicity 4)

Values from the calculation:
Distance to the lowest polymorph of the same formula (meV/atom): 387
Formation energy from the elements (eV per formula unit): -0.89
ρ (Mg/m³): 6.55
Spin magnetization (μB/cell): 0.20
Uncorrected energy (eV/atom): -7.00

Record 3
VASP calculation (PBE) on K2Na4Se after structural relaxation.

a b c (Å): 5.570 5.570 23.050
angles (deg): 90.00 90.00 90.00
Space group I4/mmm (No. 139)
Unique sites:
K: 0.000 0.000 0.194 (multiplicity 4)
Na: 0.000 0.000 0.376 (multiplicity 4)
Na: 0.000 0.500 0.000 (multiplicity 4)
Se: 0.000 0.000 0.500 (multiplicity 2)

Values from the calculation:
ρ (Mg/m³): 1.16
Energy relative to the elements, uncorrected (meV per atom): -330
Spin magnetization (μB/cell): 0.00
Uncorrected energy (eV/atom): -1.90

Record 4
VASP calculation (PBE) on Ba3Li2RhO6 after structural relaxation.

a b c (Å): 5.9003 5.9003 6.6739
angles (deg): 90.00 90.00 120.00
Space group P-3m1 (No. 164)
Unique sites:
Ba: 0.0000 0.0000 0.0000 (multiplicity 1)
Ba: 0.3333 0.6667 0.6397 (multiplicity 2)
Li: 0.3333 0.6667 0.2300 (multiplicity 2)
Rh: 0.0000 0.0000 0.5000 (multiplicity 1)
O: 0.1627 0.3254 0.3168 (multiplicity 6)

Values from the calculation:
ρ (Mg/m³): 5.16
Energy relative to the elements, uncorrected (meV per atom): -1881
Spin magnetization (μB/cell): 1.06
Uncorrected energy (eV/atom): -5.77